# K2Ce2PdO6 PBE optimized geometry
data_K2Ce2PdO6
_chemical_formula_sum 'K4 Ce4 Pd2 O12'
_space_group_name_H-M_alt 'C 1 2/m 1'
_space_group_IT_number 12
_cell_length_a 5.8875
_cell_length_b 10.8682
_cell_length_c 6.4701
_cell_angle_alpha 90.00
_cell_angle_beta 102.78
_cell_angle_gamma 90.00
loop_
_space_group_symop_operation_xyz
'x,y,z'
'-x,-y,-z'
'-x,y,-z'
'x,-y,z'
'x+1/2,y+1/2,z'
'-x+1/2,-y+1/2,-z'
'-x+1/2,y+1/2,-z'
'x+1/2,-y+1/2,z'
loop_
_atom_site_label
_atom_site_fract_x
_atom_site_fract_y
_atom_site_fract_z
K1 0.0000 0.1501 0.0000
Ce1 0.0000 0.3356 0.5000
Pd1 0.0000 0.0000 0.5000
O1 0.2363 0.1915 0.6907
O2 0.2367 0.5000 0.6598
# Crystal system: monoclinic
# ΔE_f (raw), kJ per mole of atoms: -215.8
# Uncorrected energy, eV per atom: -6.69